Record 1
A plane-wave DFT calculation with PBE was carried out for an optimized crystal structure of Cs2RbPmBr6. Values from VASP.

The structure in Quantum ESPRESSO input format:
```
&SYSTEM
  ibrav = 0, nat = 20, ntyp = 4
/
ATOMIC_SPECIES
Cs 132.91 Cs.upf
Rb 85.47 Rb.upf
Pm 145.00 Pm.upf
Br 79.90 Br.upf
CELL_PARAMETERS angstrom
8.4083 0.0000 0.0000
0.0000 8.8493 0.0000
-8.2769 0.0000 12.0329
ATOMIC_POSITIONS crystal
Cs 0.2236 0.0673 0.2474
Cs 0.2236 0.4327 0.7474
Cs 0.7764 0.5673 0.2526
Cs 0.7764 0.9327 0.7526
Rb 0.0000 0.0000 0.5000
Rb 0.0000 0.5000 0.0000
Pm 0.5000 0.0000 0.0000
Pm 0.5000 0.5000 0.5000
Br 0.1767 0.1811 0.9542
Br 0.1767 0.3189 0.4542
Br 0.2676 0.7292 0.9425
Br 0.2676 0.7708 0.4425
Br 0.3737 0.0356 0.7718
Br 0.3737 0.4644 0.2718
Br 0.6263 0.5356 0.7282
Br 0.6263 0.9644 0.2282
Br 0.7324 0.2292 0.5575
Br 0.7324 0.2708 0.0575
Br 0.8233 0.6811 0.5458
Br 0.8233 0.8189 0.0458
```

Values from the calculation:
symmetry = No. 14
formation energy without anion corrections = -1.869 eV per atom

Record 2
A plane-wave DFT calculation with PBE was carried out for an optimized crystal structure of KRuI2N. Values from VASP.

The structure in Quantum ESPRESSO input format:
```
&SYSTEM
  ibrav = 0, nat = 5, ntyp = 4
/
ATOMIC_SPECIES
K 39.10 K.upf
Ru 101.07 Ru.upf
I 126.90 I.upf
N 14.01 N.upf
CELL_PARAMETERS angstrom
5.8154 0.0000 0.0000
0.0000 5.8154 0.0000
0.0000 0.0000 3.7799
ATOMIC_POSITIONS crystal
K 0.0000 0.0000 0.0000
Ru 0.5000 0.5000 0.5000
I 0.0000 0.5000 0.5000
I 0.5000 0.0000 0.5000
N 0.5000 0.5000 0.0000
```

Values from the calculation:
E above lowest polymorph = 0.000 eV per atom
symmetry = No. 123
formation energy without anion corrections = -0.181 eV per atom

Record 3
A plane-wave DFT calculation with PBE was carried out for an optimized crystal structure of ZnAsP2. Values from VASP.

The structure in Quantum ESPRESSO input format:
```
&SYSTEM
  ibrav = 0, nat = 4, ntyp = 3
/
ATOMIC_SPECIES
Zn 65.41 Zn.upf
As 74.92 As.upf
P 30.97 P.upf
CELL_PARAMETERS angstrom
-1.5565 1.7841 6.4033
1.5565 -1.7841 6.4033
1.5565 1.7841 -6.4033
ATOMIC_POSITIONS crystal
Zn 0.0000 0.0000 0.0000
As 0.3478 0.8478 0.5000
P 0.5987 0.5987 0.0000
P 0.7212 0.2212 0.5000
```

Values from the calculation:
E above lowest polymorph = 0.242 eV per atom
symmetry = No. 44
E_form = 0.29 eV/atom

Record 4
A plane-wave DFT calculation with PBE was carried out for an optimized crystal structure of RbBeSbS3. Values from VASP.

The structure in Quantum ESPRESSO input format:
```
&SYSTEM
  ibrav = 0, nat = 12, ntyp = 4
/
ATOMIC_SPECIES
Rb 85.47 Rb.upf
Be 9.01 Be.upf
Sb 121.76 Sb.upf
S 32.06 S.upf
CELL_PARAMETERS angstrom
9.2407 0.0000 0.0000
0.0000 3.8367 0.0000
-2.5560 0.0000 9.2026
ATOMIC_POSITIONS crystal
Rb 0.2143 0.2500 0.1693
Rb 0.7857 0.7500 0.8307
Be 0.4090 0.7500 0.9199
Be 0.5910 0.2500 0.0801
Sb 0.1534 0.2500 0.6488
Sb 0.8466 0.7500 0.3512
S 0.1250 0.7500 0.4206
S 0.1692 0.7500 0.8508
S 0.4951 0.2500 0.8535
S 0.5049 0.7500 0.1465
S 0.8308 0.2500 0.1492
S 0.8750 0.2500 0.5794
```

Values from the calculation:
symmetry = No. 11
formation energy without anion corrections = -0.786 eV per atom

Record 5
A plane-wave DFT calculation with PBE was carried out for an optimized crystal structure of Sc2TaCu. Values from VASP.

The structure in Quantum ESPRESSO input format:
```
&SYSTEM
  ibrav = 0, nat = 4, ntyp = 3
/
ATOMIC_SPECIES
Sc 44.96 Sc.upf
Ta 180.95 Ta.upf
Cu 63.55 Cu.upf
CELL_PARAMETERS angstrom
-2.0429 2.0429 4.4918
2.0429 -2.0429 4.4918
2.0429 2.0429 -4.4918
ATOMIC_POSITIONS crystal
Sc 0.0000 0.0000 0.0000
Sc 0.7500 0.2500 0.5000
Ta 0.2500 0.7500 0.5000
Cu 0.5000 0.5000 0.0000
```

Values from the calculation:
E above lowest polymorph = 0.264 eV per atom
symmetry = No. 119
E_form = 0.22 eV/atom

Record 6
A plane-wave DFT calculation with PBE was carried out for an optimized crystal structure of Sm2YTh. Values from VASP.

The structure in Quantum ESPRESSO input format:
```
&SYSTEM
  ibrav = 0, nat = 4, ntyp = 3
/
ATOMIC_SPECIES
Sm 150.36 Sm.upf
Y 88.91 Y.upf
Th 232.04 Th.upf
CELL_PARAMETERS angstrom
3.6055 0.0000 0.0000
0.0000 3.6055 0.0000
0.0000 0.0000 10.1912
ATOMIC_POSITIONS crystal
Sm 0.0000 0.0000 0.2420
Sm 0.0000 0.0000 0.7580
Y 0.5000 0.5000 0.5000
Th 0.5000 0.5000 0.0000
```

Values from the calculation:
E above lowest polymorph = 0.017 eV per atom
symmetry = No. 123
E_form = 0.04 eV/atom

Record 7
A plane-wave DFT calculation with PBE was carried out for an optimized crystal structure of LiHgMo2. Values from VASP.

The structure in Quantum ESPRESSO input format:
```
&SYSTEM
  ibrav = 0, nat = 4, ntyp = 3
/
ATOMIC_SPECIES
Li 6.94 Li.upf
Hg 200.59 Hg.upf
Mo 95.94 Mo.upf
CELL_PARAMETERS angstrom
2.7346 0.0000 0.0000
0.0000 4.2644 0.0000
-1.2583 0.0000 5.7458
ATOMIC_POSITIONS crystal
Li 0.0000 0.0000 0.0000
Hg 0.2470 0.5000 0.7756
Mo 0.6099 0.0000 0.4685
Mo 0.8129 0.5000 0.2622
```

Values from the calculation:
symmetry = No. 6
E_form = 0.29 eV/atom

Record 8
A plane-wave DFT calculation with PBE was carried out for an optimized crystal structure of LaSb2. Values from VASP.

The structure in Quantum ESPRESSO input format:
```
&SYSTEM
  ibrav = 0, nat = 3, ntyp = 2
/
ATOMIC_SPECIES
La 138.91 La.upf
Sb 121.76 Sb.upf
CELL_PARAMETERS angstrom
-1.7020 1.7020 8.1173
1.7020 -1.7020 8.1173
1.7020 1.7020 -8.1173
ATOMIC_POSITIONS crystal
La 0.0000 0.0000 0.0000
Sb 0.3509 0.3509 0.0000
Sb 0.6491 0.6491 0.0000
```

Values from the calculation:
symmetry = No. 139
formation energy without anion corrections = -0.413 eV per atom

Record 9
A plane-wave DFT calculation with PBE was carried out for an optimized crystal structure of Mn2CdPb2. Values from VASP.

The structure in Quantum ESPRESSO input format:
```
&SYSTEM
  ibrav = 0, nat = 5, ntyp = 3
/
ATOMIC_SPECIES
Mn 54.94 Mn.upf
Cd 112.41 Cd.upf
Pb 207.20 Pb.upf
CELL_PARAMETERS angstrom
-2.2141 2.2141 6.3955
2.2141 -2.2141 6.3955
2.2141 2.2141 -6.3955
ATOMIC_POSITIONS crystal
Mn 0.0987 0.0987 0.0000
Mn 0.9013 0.9013 0.0000
Cd 0.5000 0.5000 0.0000
Pb 0.2500 0.7500 0.5000
Pb 0.7500 0.2500 0.5000
```

Values from the calculation:
symmetry = No. 139
E_form = 0.65 eV/atom

Record 10
A plane-wave DFT calculation with PBE was carried out for an optimized crystal structure of Pm6PdRh5. Values from VASP.

The structure in Quantum ESPRESSO input format:
```
&SYSTEM
  ibrav = 0, nat = 12, ntyp = 3
/
ATOMIC_SPECIES
Pm 145.00 Pm.upf
Pd 106.42 Pd.upf
Rh 102.91 Rh.upf
CELL_PARAMETERS angstrom
3.5822 -5.5951 0.0000
3.5822 5.5951 0.0000
-1.7902 0.0000 7.1122
ATOMIC_POSITIONS crystal
Pm 0.0555 0.4028 0.7223
Pm 0.2152 0.2152 0.2095
Pm 0.4028 0.0555 0.7223
Pm 0.5972 0.9445 0.2777
Pm 0.7848 0.7848 0.7905
Pm 0.9445 0.5972 0.2777
Pd 0.5000 0.5000 0.0000
Rh 0.0000 0.0000 0.5000
Rh 0.2031 0.7969 0.0000
Rh 0.3724 0.6276 0.5000
Rh 0.6276 0.3724 0.5000
Rh 0.7969 0.2031 0.0000
```

Values from the calculation:
E above lowest polymorph = 0.126 eV per atom
symmetry = No. 12
E_form = -0.58 eV/atom

Record 11
A plane-wave DFT calculation with PBE was carried out for an optimized crystal structure of BaCa3Pt. Values from VASP.

The structure in Quantum ESPRESSO input format:
```
&SYSTEM
  ibrav = 0, nat = 10, ntyp = 3
/
ATOMIC_SPECIES
Ba 137.33 Ba.upf
Ca 40.08 Ca.upf
Pt 195.08 Pt.upf
CELL_PARAMETERS angstrom
4.7120 0.0000 0.0000
-2.3560 4.0807 0.0000
0.0000 0.0000 24.4558
ATOMIC_POSITIONS crystal
Ba 0.0000 0.0000 0.0000
Ba 0.0000 0.0000 0.5000
Ca 0.0000 0.0000 0.2500
Ca 0.0000 0.0000 0.7500
Ca 0.3333 0.6667 0.1357
Ca 0.3333 0.6667 0.3643
Ca 0.6667 0.3333 0.6357
Ca 0.6667 0.3333 0.8643
Pt 0.3333 0.6667 0.2500
Pt 0.6667 0.3333 0.7500
```

Values from the calculation:
E above lowest polymorph = 0.273 eV per atom
symmetry = No. 194
E_form = -0.19 eV/atom

Record 12
A plane-wave DFT calculation with PBE was carried out for an optimized crystal structure of MnCdCu2. Values from VASP.

The structure in Quantum ESPRESSO input format:
```
&SYSTEM
  ibrav = 0, nat = 4, ntyp = 3
/
ATOMIC_SPECIES
Mn 54.94 Mn.upf
Cd 112.41 Cd.upf
Cu 63.55 Cu.upf
CELL_PARAMETERS angstrom
1.4216 0.8208 8.6726
-1.4216 0.8208 8.6726
0.0000 -1.6415 8.6726
ATOMIC_POSITIONS crystal
Mn 0.0000 0.0000 0.0000
Cd 0.7610 0.7610 0.7610
Cu 0.2567 0.2567 0.2567
Cu 0.5159 0.5159 0.5159
```

Values from the calculation:
symmetry = No. 160
E_form = 0.25 eV/atom

Record 13
A plane-wave DFT calculation with PBE was carried out for an optimized crystal structure of LaCeSc2. Values from VASP.

The structure in Quantum ESPRESSO input format:
```
&SYSTEM
  ibrav = 0, nat = 4, ntyp = 3
/
ATOMIC_SPECIES
La 138.91 La.upf
Ce 140.12 Ce.upf
Sc 44.96 Sc.upf
CELL_PARAMETERS angstrom
3.4908 0.0000 0.0000
0.0000 3.4908 0.0000
0.0000 0.0000 9.3714
ATOMIC_POSITIONS crystal
La 0.0000 0.0000 0.0000
Ce 0.0000 0.0000 0.5000
Sc 0.5000 0.5000 0.2639
Sc 0.5000 0.5000 0.7361
```

Values from the calculation:
E above lowest polymorph = 0.000 eV per atom
symmetry = No. 123
E_form = 0.08 eV/atom

Record 14
A plane-wave DFT calculation with PBE was carried out for an optimized crystal structure of Ca2MnCrN4. Values from VASP.

The structure in Quantum ESPRESSO input format:
```
&SYSTEM
  ibrav = 0, nat = 16, ntyp = 4
/
ATOMIC_SPECIES
Ca 40.08 Ca.upf
Mn 54.94 Mn.upf
Cr 52.00 Cr.upf
N 14.01 N.upf
CELL_PARAMETERS angstrom
5.4387 0.0000 0.0000
0.0000 6.5980 0.0000
0.0000 0.0000 5.7492
ATOMIC_POSITIONS crystal
Ca 0.2500 0.9999 0.2437
Ca 0.2500 0.5001 0.2437
Ca 0.7500 0.0001 0.7563
Ca 0.7500 0.4999 0.7563
Mn 0.2500 0.2500 0.7963
Mn 0.7500 0.7500 0.2037
Cr 0.2500 0.7500 0.8018
Cr 0.7500 0.2500 0.1982
N 0.9999 0.2500 0.9976
N 0.0001 0.7500 0.0024
N 0.2500 0.5012 0.6586
N 0.2500 0.9988 0.6586
N 0.5001 0.2500 0.9976
N 0.4999 0.7500 0.0024
N 0.7500 0.0012 0.3414
N 0.7500 0.4988 0.3414
```

Values from the calculation:
symmetry = No. 59
formation energy without anion corrections = -0.754 eV per atom

Record 15
A plane-wave DFT calculation with PBE was carried out for an optimized crystal structure of LaHoCoBr. Values from VASP.

The structure in Quantum ESPRESSO input format:
```
&SYSTEM
  ibrav = 0, nat = 4, ntyp = 4
/
ATOMIC_SPECIES
La 138.91 La.upf
Ho 164.93 Ho.upf
Co 58.93 Co.upf
Br 79.90 Br.upf
CELL_PARAMETERS angstrom
3.4005 -1.9613 0.0000
3.4005 1.9613 0.0000
-2.2547 0.0000 7.8368
ATOMIC_POSITIONS crystal
La 0.0000 0.0000 0.0000
Ho 0.2071 0.2071 0.6224
Co 0.6031 0.6031 0.8107
Br 0.7778 0.7778 0.3337
```

Values from the calculation:
symmetry = No. 8
formation energy without anion corrections = -0.767 eV per atom

Record 16
A plane-wave DFT calculation with PBE was carried out for an optimized crystal structure of Dy2AsPt. Values from VASP.

The structure in Quantum ESPRESSO input format:
```
&SYSTEM
  ibrav = 0, nat = 4, ntyp = 3
/
ATOMIC_SPECIES
Dy 162.50 Dy.upf
As 74.92 As.upf
Pt 195.08 Pt.upf
CELL_PARAMETERS angstrom
1.9847 1.1458 8.5014
-1.9847 1.1458 8.5014
0.0000 -2.2917 8.5014
ATOMIC_POSITIONS crystal
Dy 0.1019 0.1019 0.1019
Dy 0.8981 0.8981 0.8981
As 0.5000 0.5000 0.5000
Pt 0.0000 0.0000 0.0000
```

Values from the calculation:
symmetry = No. 166
E_form = -0.43 eV/atom

Record 17
A plane-wave DFT calculation with PBE was carried out for an optimized crystal structure of Al4Zn. Values from VASP.

The structure in Quantum ESPRESSO input format:
```
&SYSTEM
  ibrav = 0, nat = 5, ntyp = 2
/
ATOMIC_SPECIES
Al 26.98 Al.upf
Zn 65.41 Zn.upf
CELL_PARAMETERS angstrom
4.7493 0.0000 0.0000
0.0000 4.7493 0.0000
0.0000 0.0000 4.7493
ATOMIC_POSITIONS crystal
Al 0.0000 0.0000 0.0000
Al 0.0000 0.5000 0.5000
Al 0.5000 0.0000 0.5000
Al 0.5000 0.5000 0.0000
Zn 0.5000 0.5000 0.5000
```

Values from the calculation:
E above lowest polymorph = 0.582 eV per atom
symmetry = No. 221
E_form = 0.59 eV/atom

Record 18
A plane-wave DFT calculation with PBE was carried out for an optimized crystal structure of DyTeCl. Values from VASP.

The structure in Quantum ESPRESSO input format:
```
&SYSTEM
  ibrav = 0, nat = 6, ntyp = 3
/
ATOMIC_SPECIES
Dy 162.50 Dy.upf
Te 127.60 Te.upf
Cl 35.45 Cl.upf
CELL_PARAMETERS angstrom
7.1364 0.0000 0.0000
0.0000 4.2469 0.0000
-0.9119 0.0000 7.1280
ATOMIC_POSITIONS crystal
Dy 0.0000 0.0000 0.0000
Dy 0.5002 0.5000 0.0007
Te 0.2012 0.5000 0.2556
Te 0.7982 0.5000 0.7448
Cl 0.3169 0.0000 0.8076
Cl 0.6835 0.0000 0.1935
```

Values from the calculation:
symmetry = No. 6
formation energy without anion corrections = -1.694 eV per atom

Record 19
A plane-wave DFT calculation with PBE was carried out for an optimized crystal structure of TiPd2Br. Values from VASP.

The structure in Quantum ESPRESSO input format:
```
&SYSTEM
  ibrav = 0, nat = 4, ntyp = 3
/
ATOMIC_SPECIES
Ti 47.87 Ti.upf
Pd 106.42 Pd.upf
Br 79.90 Br.upf
CELL_PARAMETERS angstrom
0.0000 3.2707 3.2707
3.2707 0.0000 3.2707
3.2707 3.2707 0.0000
ATOMIC_POSITIONS crystal
Ti 0.0000 0.0000 0.0000
Pd 0.2500 0.2500 0.2500
Pd 0.7500 0.7500 0.7500
Br 0.5000 0.5000 0.5000
```

Values from the calculation:
E above lowest polymorph = 0.000 eV per atom
symmetry = No. 225
formation energy without anion corrections = 0.098 eV per atom

Record 20
A plane-wave DFT calculation with PBE was carried out for an optimized crystal structure of ZrTlC2. Values from VASP.

The structure in Quantum ESPRESSO input format:
```
&SYSTEM
  ibrav = 0, nat = 4, ntyp = 3
/
ATOMIC_SPECIES
Zr 91.22 Zr.upf
Tl 204.38 Tl.upf
C 12.01 C.upf
CELL_PARAMETERS angstrom
0.0000 3.0197 3.0197
3.0197 0.0000 3.0197
3.0197 3.0197 0.0000
ATOMIC_POSITIONS crystal
Zr 0.0000 0.0000 0.0000
Tl 0.5000 0.5000 0.5000
C 0.2500 0.2500 0.2500
C 0.7500 0.7500 0.7500
```

Values from the calculation:
E above lowest polymorph = 0.584 eV per atom
symmetry = No. 225
E_form = 1.55 eV/atom

no.,total moment (μB per atom),calculated total energy (eV per cell)
1,0.000,-72.30
2,0.000,-22.70
3,0.000,-15.60
4,0.000,-51.83
5,0.000,-27.75
6,0.000,-23.18
7,0.000,-22.70
8,0.000,-14.41
9,1.499,-23.44
10,0.000,-77.45
11,0.000,-29.82
12,0.953,-17.27
13,0.113,-23.20
14,0.000,-124.25
15,0.000,-21.35
16,0.000,-21.63
17,0.000,-13.31
18,0.000,-29.35
19,0.177,-19.56
20,0.000,-23.15